[1]
A plane-wave DFT calculation with PBE-GGA was carried out for crystalline HoLuMgPb at its relaxed geometry.

Structure (extended XYZ):
```
4
Lattice="0.0000 3.7554 3.7554 3.7554 0.0000 3.7554 3.7554 3.7554 0.0000" Properties=species:S:1:pos:R:3 pbc="T T T"
Ho 0.0000 0.0000 0.0000
Lu 3.7554 3.7554 3.7554
Mg 5.6331 5.6331 5.6331
Pb 1.8777 1.8777 1.8777
```

[2]
A plane-wave DFT calculation with PBE-GGA was carried out for crystalline HoLuMgPd at its relaxed geometry.

Structure (extended XYZ):
```
4
Lattice="0.0000 3.5837 3.5837 3.5837 0.0000 3.5837 3.5837 3.5837 0.0000" Properties=species:S:1:pos:R:3 pbc="T T T"
Ho 0.0000 0.0000 0.0000
Lu 3.5837 3.5837 3.5837
Mg 5.3755 5.3755 5.3755
Pd 1.7918 1.7918 1.7918
```

[3]
A plane-wave DFT calculation with PBE-GGA was carried out for crystalline PmHoLuMg at its relaxed geometry.

Structure (extended XYZ):
```
4
Lattice="0.0000 3.8853 3.8853 3.8853 0.0000 3.8853 3.8853 3.8853 0.0000" Properties=species:S:1:pos:R:3 pbc="T T T"
Pm 0.0000 0.0000 0.0000
Ho 3.8853 3.8853 3.8853
Lu 5.8280 5.8280 5.8280
Mg 1.9427 1.9427 1.9427
```

| no. | total magnetic moment (μB per formula unit) | calculated formation energy (eV per atom) |
| --- | --- | --- |
| 1 | 0.00 | -0.22 |
| 2 | 0.00 | -0.42 |
| 3 | 0.00 | 0.02 |